Below is a relaxed structure of DyFeSi, with properties calculated at the PBEsol level.

- energy relative to the elements, uncorrected (eV/f.u.) = -2.106
- energy (eV/atom) = -7.265

abc: 3.9785 3.9785 6.4297
angles: 90.00 90.00 90.00
With the nearest neighbours (Å) after each atom.
Space group P4/nmm (No. 129, origin choice 2)
One atom of each set of equivalent atoms:
Dy 0.2500 0.2500 0.1840 x2  4 Fe 2.84, 4 Si 2.95
Fe 0.2500 0.7500 0.5000 x2  4 Si 2.30
Si 0.2500 0.2500 0.6797 x2  4 Fe 2.30

Below is a relaxed structure of Dy3Fe2Si3, with properties calculated at the PBEsol level.

- energy relative to the elements, uncorrected (eV/f.u.) = -5.767
- energy (eV/atom) = -6.984

abc: 4.0348 10.3710 13.4127
angles: 90.00 90.00 90.00
With the nearest neighbours (Å) after each atom.
Space group Cmcm (No. 63)
One atom of each set of equivalent atoms:
Dy 0.0000 0.0816 0.1124 x8  7 Si 2.90-3.20, 4 Fe 2.93-3.11
Dy 0.0000 0.3681 0.2500 x4  4 Si 2.81-2.82
Fe 0.0000 0.2153 0.5804 x8  4 Si 2.29-2.52
Si 0.0000 0.3206 0.7500 x4  2 Fe 2.52, 2 Dy 2.81
Si 0.0000 0.3749 0.0396 x8  3 Fe 2.29-2.31

The following Fermi-level density of states values (in states/eV per cell) correspond, in order, to the records above: 6.58 18.78.